No. 1
A plane-wave DFT calculation with PBE-GGA was carried out for a geometry-optimized AlV2Si structure.

Lattice parameters (Å, degrees): 4.7424 4.9452 5.1829 82.49 64.62 83.29
Space group P1 (No. 1)
One atom of each set of equivalent atoms:
Al (0.0000, 0.0000, 0.0000) x1
Al (0.4791, 0.2335, 0.4000) x1
V (0.5040, 0.7267, 0.6166) x1
V (0.5115, 0.2646, 0.8816) x1
V (0.9823, 0.9997, 0.5050) x1
V (0.9863, 0.4782, 0.2388) x1
Si (0.4828, 0.7474, 0.1189) x1
Si (0.9970, 0.5099, 0.7306) x1


No. 2
A plane-wave DFT calculation with PBE-GGA was carried out for a geometry-optimized AlVSi structure.

Lattice parameters (Å, degrees): 4.7701 8.5686 8.1078 90.00 90.00 90.00
Space group Fdd2 (No. 43)
One atom of each set of equivalent atoms:
Al (0.0000, 0.0000, 0.0000) x8
V (0.0000, 0.0000, 0.3356) x8
Si (0.0000, 0.0000, 0.6619) x8


No. 3
A plane-wave DFT calculation with PBE-GGA was carried out for a geometry-optimized AlVSi structure.

Lattice parameters (Å, degrees): 2.8261 3.4743 8.3945 90.00 90.00 90.00
Space group Imm2 (No. 44)
One atom of each set of equivalent atoms:
Al (0.0000, 0.0000, 0.0000) x2
V (0.0000, 0.0000, 0.6728) x2
Si (0.0000, 0.0000, 0.3286) x2


No. 4
A plane-wave DFT calculation with PBE-GGA was carried out for a geometry-optimized AlV2Si structure.

Lattice parameters (Å, degrees): 6.6961 6.6961 5.2672 90.00 90.00 90.00
Space group I-42d (No. 122)
One atom of each set of equivalent atoms:
Al (0.0000, 0.0000, 0.0000) x4
V (0.2341, 0.2500, 0.6250) x8
Si (0.0000, 0.0000, 0.5000) x4


No. 5
A plane-wave DFT calculation with PBE-GGA was carried out for a geometry-optimized AlV2Si structure.

Lattice parameters (Å, degrees): 3.1961 3.1961 5.3882 90.00 90.00 90.00
Space group P4mm (No. 99)
One atom of each set of equivalent atoms:
Al (0.0000, 0.0000, 0.0000) x1
V (0.0000, 0.0000, 0.5067) x1
V (0.5000, 0.5000, 0.7335) x1
Si (0.5000, 0.5000, 0.2570) x1


No. 6
A plane-wave DFT calculation with PBE-GGA was carried out for a geometry-optimized AlV5Si structure.

Lattice parameters (Å, degrees): 6.1323 6.7025 9.8958 90.00 104.26 90.00
Space group C2/c (No. 15)
One atom of each set of equivalent atoms:
Al (0.0000, 0.0996, 0.2500) x4
V (0.0000, 0.4989, 0.7500) x4
V (0.1436, 0.1381, 0.5701) x8
V (0.2110, 0.2269, 0.8678) x8
Si (0.0000, 0.5000, 0.0000) x4


No. 7
A plane-wave DFT calculation with PBE-GGA was carried out for a geometry-optimized AlVSi structure.

Lattice parameters (Å, degrees): 4.3287 4.3287 5.0972 90.00 90.00 120.00
Space group P6_3/mmc (No. 194)
One atom of each set of equivalent atoms:
Al (0.3333, 0.6667, 0.2500) x2
V (0.0000, 0.0000, 0.0000) x2
Si (0.3333, 0.6667, 0.7500) x2


No. 8
A plane-wave DFT calculation with PBE-GGA was carried out for a geometry-optimized AlV2Si2 structure.

Lattice parameters (Å, degrees): 3.4358 3.4358 12.4458 90.00 90.00 90.00
Space group I4/mmm (No. 139)
One atom of each set of equivalent atoms:
Al (0.0000, 0.0000, 0.0000) x2
V (0.0000, 0.0000, 0.3994) x4
Si (0.0000, 0.5000, 0.2500) x4


No. 9
A plane-wave DFT calculation with PBE-GGA was carried out for a geometry-optimized Al2V2Si structure.

Lattice parameters (Å, degrees): 3.5000 3.5000 12.6959 90.00 90.00 90.00
Space group I4/mmm (No. 139)
One atom of each set of equivalent atoms:
Al (0.0000, 0.5000, 0.2500) x4
V (0.0000, 0.0000, 0.0879) x4
Si (0.0000, 0.0000, 0.5000) x2


No. 10
A plane-wave DFT calculation with PBE-GGA was carried out for a geometry-optimized AlV2Si structure.

Lattice parameters (Å, degrees): 4.6675 4.8163 5.2895 70.55 89.18 77.78
Space group P-1 (No. 2)
One atom of each set of equivalent atoms:
Al (0.1514, 0.2304, 0.1869) x2
V (0.1601, 0.2546, 0.6787) x2
V (0.3547, 0.7294, 0.0826) x2
Si (0.3459, 0.7443, 0.5743) x2


No. 11
A plane-wave DFT calculation with PBE-GGA was carried out for a geometry-optimized AlV2Si structure.

Lattice parameters (Å, degrees): 6.0195 6.0195 6.0195 90.00 90.00 90.00
Space group Fm-3m (No. 225)
One atom of each set of equivalent atoms:
Al (0.0000, 0.0000, 0.0000) x4
V (0.2500, 0.2500, 0.2500) x8
Si (0.0000, 0.0000, 0.5000) x4


No. 12
A plane-wave DFT calculation with PBE-GGA was carried out for a geometry-optimized Al3V2Si structure.

Lattice parameters (Å, degrees): 14.9344 3.4701 7.9616 90.00 115.53 90.00
Space group C2/m (No. 12)
One atom of each set of equivalent atoms:
Al (0.0618, 0.0000, 0.1767) x4
Al (0.1347, 0.5000, 0.9845) x4
Al (0.1928, 0.5000, 0.3854) x4
V (0.0090, 0.5000, 0.3661) x4
V (0.2274, 0.5000, 0.7712) x4
Si (0.1077, 0.0000, 0.6070) x4


Record order is preserved below.
Energy relative to the elements, uncorrected: -0.27, -0.35, -0.24, 0.14, -0.28, -0.09, -0.15, -0.10, 0.18, -0.28, -0.05, -0.05 eV per atom
Record order is preserved below.
Calculated volume: 13.578, 13.808, 13.737, 14.761, 13.760, 14.079, 13.788, 14.692, 15.553, 13.672, 13.632, 15.513 Å³/atom
Record order is preserved below.
Total magnetization: 0.0, 0.0, 0.0, 0.0, 0.0, 0.0, 0.0, 1.1, 0.0, 0.0, 7.9, 0.0 μB/cell